A geometry-optimized FeOs2Ru structure. Source: the Alexandria database, functional GGA-PBE.

## Properties
* ΔH_f (0 K): 0.14 eV per atom
* ΔE to the lowest computed polymorph: 0.0 kJ per mole of atoms
* total magnetic moment: 1.74 μB per formula unit
* mass density: 16.42 Mg/m³
* space-group type: Pmm2 (25)

a = 2.7014 Å, b = 3.7899 Å, c = 5.3095 Å
α = 90.00°, β = 90.00°, γ = 90.00°
Last column: nearest neighbours and their distance in Å.
Fractional positions:
Ru1 0.0000 0.0000 0.5080  6 Os 2.58-2.73, 4 Fe 2.66, 2 Ru 2.70
Os1 0.0000 0.0000 0.9943  2 Ru 2.58-2.73, 4 Fe 2.66, 6 Os 2.69-2.70
Fe1 0.5000 0.5000 0.7497  6 Os 2.65-2.66, 4 Ru 2.66, 2 Fe 2.70
Os2 0.5000 0.5000 0.2479  2 Fe 2.65-2.66, 6 Os 2.69-2.70, 4 Ru 2.71